Record 1
Density functional theory data (PBE) for a relaxed EuCdPd crystal.

Lattice parameters (Å, degrees): 3.6375 3.6375 5.9217 107.89 107.89 90.00
Element x y z (fractional)
Pd  0.2665  0.2665  0.5329
Eu  0.9403  0.9403  0.8807
Cd  0.6432  0.6432  0.2864

Properties
Electronic total energy = -5.919 eV/atom
Density of states at the Fermi level = 10.67 states/eV/f.u.
SG = No. 107
Energy relative to the elements = -458 meV per atom
Spin magnetization = 7.1 μB per formula unit

***

Record 2
Density functional theory data (PBE) for a relaxed PmEuCdPd crystal.

Lattice parameters (Å, degrees): 5.2828 5.2828 5.2828 60.00 60.00 60.00
Element x y z (fractional)
Pd  0.2500  0.2500  0.2500
Cd  0.7500  0.7500  0.7500
Pm  0.0000  0.0000  0.0000
Eu  0.5000  0.5000  0.5000

Properties
Electronic total energy = -5.746 eV/atom
Density of states at the Fermi level = 9.48 states/eV/f.u.
SG = No. 216
Energy relative to the elements = -463 meV per atom
Spin magnetization = 7.0 μB per formula unit

***

Record 3
Density functional theory data (PBE) for a relaxed PrEuCdPd crystal.

Lattice parameters (Å, degrees): 5.3240 5.3240 5.3240 60.00 60.00 60.00
Element x y z (fractional)
Pd  0.0000  0.0000  0.0000
Pr  0.2500  0.2500  0.2500
Eu  0.7500  0.7500  0.7500
Cd  0.5000  0.5000  0.5000

Properties
Electronic total energy = -5.749 eV/atom
Density of states at the Fermi level = 9.28 states/eV/f.u.
SG = No. 216
Energy relative to the elements = -459 meV per atom
Spin magnetization = 7.0 μB per formula unit

***

Record 4
Density functional theory data (PBE) for a relaxed EuCdPdPt crystal.

Lattice parameters (Å, degrees): 4.8740 4.8740 4.8740 60.00 60.00 60.00
Element x y z (fractional)
Pd  0.5000  0.5000  0.5000
Eu  0.7500  0.7500  0.7500
Cd  0.2500  0.2500  0.2500
Pt  0.0000  0.0000  0.0000

Properties
Electronic total energy = -6.153 eV/atom
Density of states at the Fermi level = 11.89 states/eV/f.u.
SG = No. 216
Energy relative to the elements = -547 meV per atom
Spin magnetization = 6.9 μB per formula unit

***

Record 5
Density functional theory data (PBE) for a relaxed EuPuCdPd crystal.

Lattice parameters (Å, degrees): 5.2556 5.2556 5.2556 60.00 60.00 60.00
Element x y z (fractional)
Eu  0.0000  0.0000  0.0000
Cd  0.7500  0.7500  0.7500
Pd  0.2500  0.2500  0.2500
Pu  0.5000  0.5000  0.5000

Properties
Electronic total energy = -7.906 eV/atom
Density of states at the Fermi level = 17.03 states/eV/f.u.
SG = No. 216
Energy relative to the elements = -228 meV per atom
Spin magnetization = 13.0 μB per formula unit

***

Record 6
Density functional theory data (PBE) for a relaxed EuCdPdRh crystal.

Lattice parameters (Å, degrees): 4.8101 4.8101 4.8101 60.00 60.00 60.00
Element x y z (fractional)
Rh  0.2500  0.2500  0.2500
Pd  0.7500  0.7500  0.7500
Eu  0.0000  0.0000  0.0000
Cd  0.5000  0.5000  0.5000

Properties
Electronic total energy = -6.301 eV/atom
Density of states at the Fermi level = 10.25 states/eV/f.u.
SG = No. 216
Energy relative to the elements = -368 meV per atom
Spin magnetization = 6.9 μB per formula unit

***

Record 7
Density functional theory data (PBE) for a relaxed SmEuCdPd crystal.

Lattice parameters (Å, degrees): 5.2673 5.2673 5.2673 60.00 60.00 60.00
Element x y z (fractional)
Eu  0.5000  0.5000  0.5000
Cd  0.2500  0.2500  0.2500
Pd  0.7500  0.7500  0.7500
Sm  0.0000  0.0000  0.0000

Properties
Electronic total energy = -5.738 eV/atom
Density of states at the Fermi level = 8.96 states/eV/f.u.
SG = No. 216
Energy relative to the elements = -463 meV per atom
Spin magnetization = 7.0 μB per formula unit

***

Record 8
Density functional theory data (PBE) for a relaxed SrEuCdPd crystal.

Lattice parameters (Å, degrees): 5.4214 5.4214 5.4214 60.00 60.00 60.00
Element x y z (fractional)
Cd  0.7500  0.7500  0.7500
Pd  0.2500  0.2500  0.2500
Eu  0.5000  0.5000  0.5000
Sr  0.0000  0.0000  0.0000

Properties
Electronic total energy = -4.924 eV/atom
Density of states at the Fermi level = 9.49 states/eV/f.u.
SG = No. 216
Energy relative to the elements = -408 meV per atom
Spin magnetization = 7.2 μB per formula unit

***

Record 9
Density functional theory data (PBE) for a relaxed EuThCdPd crystal.

Lattice parameters (Å, degrees): 5.2957 5.2957 5.2957 60.00 60.00 60.00
Element x y z (fractional)
Cd  0.7500  0.7500  0.7500
Eu  0.5000  0.5000  0.5000
Th  0.0000  0.0000  0.0000
Pd  0.2500  0.2500  0.2500

Properties
Electronic total energy = -6.279 eV/atom
Density of states at the Fermi level = 6.11 states/eV/f.u.
SG = No. 216
Energy relative to the elements = -328 meV per atom
Spin magnetization = 7.1 μB per formula unit

***

Record 10
Density functional theory data (PBE) for a relaxed EuTlCdPd crystal.

Lattice parameters (Å, degrees): 5.1296 5.1296 5.1296 60.00 60.00 60.00
Element x y z (fractional)
Eu  0.5000  0.5000  0.5000
Pd  0.7500  0.7500  0.7500
Cd  0.0000  0.0000  0.0000
Tl  0.2500  0.2500  0.2500

Properties
Electronic total energy = -5.010 eV/atom
Density of states at the Fermi level = 10.80 states/eV/f.u.
SG = No. 216
Energy relative to the elements = -323 meV per atom
Spin magnetization = 7.0 μB per formula unit

***

Record 11
Density functional theory data (PBE) for a relaxed PmEuCd crystal.

Lattice parameters (Å, degrees): 3.8440 3.8440 7.1432 105.61 105.61 90.00
Element x y z (fractional)
Cd  0.6726  0.6726  0.3452
Pm  0.3096  0.3096  0.6193
Eu  0.0178  0.0178  0.0356

Properties
Electronic total energy = -5.492 eV/atom
Excess energy over the best structure of this formula in the dataset = 0 meV per atom
Density of states at the Fermi level = 3.21 states/eV/f.u.
SG = No. 107
Energy relative to the elements = -178 meV per atom
Spin magnetization = 7.4 μB per formula unit

***

Record 12
Density functional theory data (PBE) for a relaxed PmEuCd4 crystal.

Lattice parameters (Å, degrees): 6.0356 6.0356 6.0356 60.00 60.00 60.00
Element x y z (fractional)
Cd  0.6255  0.6255  0.6255
Pm  0.0000  0.0000  0.0000
Eu  0.2500  0.2500  0.2500
Cd  0.1235  0.6255  0.6255
Cd  0.6255  0.1235  0.6255
Cd  0.6255  0.6255  0.1235

Properties
Electronic total energy = -3.410 eV/atom
Density of states at the Fermi level = 5.60 states/eV/f.u.
SG = No. 216
Energy relative to the elements = -295 meV per atom
Spin magnetization = 7.1 μB per formula unit

***

Record 13
Density functional theory data (PBE) for a relaxed PmEuCd crystal.

Lattice parameters (Å, degrees): 3.6103 5.4529 5.4529 120.00 90.00 90.00
Element x y z (fractional)
Pm  0.3774  0.3333  0.6667
Cd  0.6565  0.6667  0.3333
Eu  0.9661  0.0000  0.0000

Properties
Electronic total energy = -5.388 eV/atom
Excess energy over the best structure of this formula in the dataset = 103 meV per atom
Density of states at the Fermi level = 2.77 states/eV/f.u.
SG = No. 156
Energy relative to the elements = -75 meV per atom
Spin magnetization = 7.2 μB per formula unit

***

Record 14
Density functional theory data (PBE) for a relaxed PmPrEuCd crystal.

Lattice parameters (Å, degrees): 5.6423 5.6423 5.6423 60.00 60.00 60.00
Element x y z (fractional)
Eu  0.7500  0.7500  0.7500
Pm  0.5000  0.5000  0.5000
Pr  0.0000  0.0000  0.0000
Cd  0.2500  0.2500  0.2500

Properties
Electronic total energy = -5.223 eV/atom
Excess energy over the best structure of this formula in the dataset = 0 meV per atom
Density of states at the Fermi level = 4.00 states/eV/f.u.
SG = No. 216
Energy relative to the elements = -43 meV per atom
Spin magnetization = 7.2 μB per formula unit

***

Record 15
Density functional theory data (PBE) for a relaxed PmEuCdPt crystal.

Lattice parameters (Å, degrees): 5.2406 5.2406 5.2406 60.00 60.00 60.00
Element x y z (fractional)
Cd  0.7500  0.7500  0.7500
Pt  0.2500  0.2500  0.2500
Eu  0.5000  0.5000  0.5000
Pm  0.0000  0.0000  0.0000

Properties
Electronic total energy = -6.111 eV/atom
Density of states at the Fermi level = 8.71 states/eV/f.u.
SG = No. 216
Energy relative to the elements = -616 meV per atom
Spin magnetization = 7.0 μB per formula unit